## Cs2CeSnS5 (PBE-GGA)

Data for an optimized crystal structure of Cs2CeSnS5.

Output
raw total energy: -4.740 eV/atom
space-group type: Cmc2_1 (36)

abc: 10.435 10.435 15.027
angles: 90.00 90.00 157.05
Atoms (fractional coordinates):
Cs 0.121 0.879 0.500
Cs 0.134 0.866 0.147
Cs 0.866 0.134 0.647
Cs 0.879 0.121 0.000
Ce 0.207 0.793 0.854
Ce 0.793 0.207 0.354
Sn 0.435 0.565 0.247
Sn 0.565 0.435 0.747
S 0.055 0.945 0.846
S 0.303 0.697 0.466
S 0.317 0.683 0.222
S 0.327 0.673 0.828
S 0.495 0.505 0.117
S 0.505 0.495 0.617
S 0.673 0.327 0.328
S 0.683 0.317 0.722
S 0.697 0.303 0.966
S 0.945 0.055 0.346

=====

## Cs4Ce3SnS8 (PBE-GGA)

Data for an optimized crystal structure of Cs4Ce3SnS8.

Output
raw total energy: -5.180 eV/atom
space-group type: R-3m (166)

abc: 9.394 9.394 9.394
angles: 54.17 54.17 54.17
Atoms (fractional coordinates):
Cs 0.000 0.000 0.000
Cs 0.000 0.500 0.500
Cs 0.500 0.000 0.500
Cs 0.500 0.500 0.000
Ce 0.000 0.000 0.500
Ce 0.000 0.500 0.000
Ce 0.500 0.000 0.000
Sn 0.500 0.500 0.500
S 0.215 0.734 0.734
S 0.228 0.228 0.228
S 0.266 0.266 0.785
S 0.266 0.785 0.266
S 0.734 0.215 0.734
S 0.734 0.734 0.215
S 0.772 0.772 0.772
S 0.785 0.266 0.266

=====

## CsCeSnS4 (PBE-GGA)

Data for an optimized crystal structure of CsCeSnS4.

Output
raw total energy: -5.094 eV/atom
space-group type: P2_1/m (11)

abc: 6.947 7.016 9.632
angles: 90.00 107.74 90.00
Atoms (fractional coordinates):
Cs 0.236 0.250 0.440
Cs 0.764 0.750 0.560
Ce 0.278 0.250 0.949
Ce 0.722 0.750 0.051
Sn 0.266 0.750 0.162
Sn 0.734 0.250 0.838
S 0.041 0.750 0.918
S 0.060 0.750 0.320
S 0.493 0.509 0.806
S 0.493 0.991 0.806
S 0.507 0.009 0.194
S 0.507 0.491 0.194
S 0.940 0.250 0.680
S 0.959 0.250 0.082

=====

Energy relative to the elements, uncorrected
In order: -1.15 -1.54 -1.19
Unit: eV per atom
V
In order: 638.2 506.4 447.2
Unit: Å³/cell